(1)
# TcSe2S GGA-PBE optimized geometry
# E_tot = -0.367 Ry/atom
data_TcSe2S
_space_group_name_H-M_alt 'I -4 2 d'
_space_group_IT_number 122
_space_group_name_Hall 'I -4 2bw'
_cell_length_a 6.3910
_cell_length_b 6.3910
_cell_length_c 9.2171
_cell_angle_alpha 90.00
_cell_angle_beta 90.00
_cell_angle_gamma 90.00
loop_
_atom_site_label
_atom_site_type_symbol
_atom_site_fract_x
_atom_site_fract_y
_atom_site_fract_z
Tc1 Tc 0.0000 0.0000 0.0000
Se1 Se 0.2060 0.2500 0.1250
S1 S 0.0000 0.0000 0.5000



(2)
# La2NdDy GGA-PBE optimized geometry
# formation energy from the elements = 0.0130 eV per atom
# energy above the most stable polymorph in this dataset = 0.001 eV/atom
data_La2NdDy
_space_group_name_H-M_alt 'P 4/m m m'
_space_group_IT_number 123
_space_group_name_Hall '-P 4 2'
_cell_length_a 5.2166
_cell_length_b 5.2166
_cell_length_c 5.1385
_cell_angle_alpha 90.00
_cell_angle_beta 90.00
_cell_angle_gamma 90.00
loop_
_atom_site_label
_atom_site_type_symbol
_atom_site_fract_x
_atom_site_fract_y
_atom_site_fract_z
La1 La 0.0000 0.5000 0.0000
Nd1 Nd 0.0000 0.0000 0.5000
Dy1 Dy 0.5000 0.5000 0.5000



(3)
# Ca2NiAuS GGA-PBE optimized geometry
# E_tot = -0.270 Ry/atom
data_Ca2NiAuS
_space_group_name_H-M_alt 'P 4/m m m'
_space_group_IT_number 123
_space_group_name_Hall '-P 4 2'
_cell_length_a 5.2594
_cell_length_b 5.2594
_cell_length_c 4.7442
_cell_angle_alpha 90.00
_cell_angle_beta 90.00
_cell_angle_gamma 90.00
loop_
_atom_site_label
_atom_site_type_symbol
_atom_site_fract_x
_atom_site_fract_y
_atom_site_fract_z
Ca1 Ca 0.0000 0.5000 0.0000
Ni1 Ni 0.0000 0.0000 0.5000
Au1 Au 0.5000 0.5000 0.5000
S1 S 0.5000 0.5000 0.0000



| no. | V (A^3/atom) |
| --- | --- |
| 1 | 23.53 |
| 2 | 34.96 |
| 3 | 26.25 |